{"formula": "DyHoTeC", "functional": "PBE", "state": "optimized geometry", "sg": "P-3m1 (164)", "lattice_angstrom": [[3.822, 0.000, 0.000], [-1.911, 3.310, 0.000], [0.000, 0.000, 13.995]], "species": ["Dy", "Dy", "Ho", "Ho", "Te", "Te", "C", "C"], "fractional_positions": [[0.333, 0.667, 0.406], [0.667, 0.333, 0.594], [0.333, 0.667, 0.093], [0.667, 0.333, 0.907], [0.333, 0.667, 0.751], [0.667, 0.333, 0.249], [0.000, 0.000, 0.000], [0.000, 0.000, 0.500]]}

---

{"formula": "DyHoTeC", "functional": "PBE", "state": "optimized geometry", "sg": "P-6m2 (187)", "lattice_angstrom": [[3.818, 0.000, 0.000], [-1.909, 3.306, 0.000], [0.000, 0.000, 14.040]], "species": ["Dy", "Dy", "Ho", "Ho", "Te", "Te", "C", "C"], "fractional_positions": [[0.000, 0.000, 0.157], [0.000, 0.000, 0.843], [0.333, 0.667, 0.343], [0.333, 0.667, 0.657], [0.000, 0.000, 0.500], [0.333, 0.667, 0.000], [0.667, 0.333, 0.250], [0.667, 0.333, 0.750]]}

---

{"formula": "DyHoTlC", "functional": "PBE", "state": "optimized geometry", "sg": "P6_3mc (186)", "lattice_angstrom": [[3.605, 0.000, 0.000], [-1.802, 3.122, 0.000], [0.000, 0.000, 16.269]], "species": ["Dy", "Dy", "Ho", "Ho", "Tl", "Tl", "C", "C"], "fractional_positions": [[0.333, 0.667, 0.000], [0.667, 0.333, 0.500], [0.333, 0.667, 0.334], [0.667, 0.333, 0.834], [0.333, 0.667, 0.668], [0.667, 0.333, 0.168], [0.000, 0.000, 0.417], [0.000, 0.000, 0.917]]}

---

{"formula": "DyHo3Tl2C2", "functional": "PBE", "state": "optimized geometry", "sg": "P3m1 (156)", "lattice_angstrom": [[3.601, 0.000, 0.000], [-1.800, 3.118, 0.000], [0.000, 0.000, 16.242]], "species": ["Dy", "Ho", "Ho", "Ho", "Tl", "Tl", "C", "C"], "fractional_positions": [[0.000, 0.000, 0.000], [0.000, 0.000, 0.335], [0.333, 0.667, 0.500], [0.333, 0.667, 0.834], [0.000, 0.000, 0.667], [0.333, 0.667, 0.168], [0.667, 0.333, 0.417], [0.667, 0.333, 0.917]]}

---

{"formula": "DyHoTlC", "functional": "PBE", "state": "optimized geometry", "sg": "P-3m1 (164)", "lattice_angstrom": [[3.605, 0.000, 0.000], [-1.802, 3.122, 0.000], [0.000, 0.000, 16.270]], "species": ["Dy", "Dy", "Ho", "Ho", "Tl", "Tl", "C", "C"], "fractional_positions": [[0.333, 0.667, 0.083], [0.667, 0.333, 0.917], [0.333, 0.667, 0.418], [0.667, 0.333, 0.582], [0.333, 0.667, 0.749], [0.667, 0.333, 0.251], [0.000, 0.000, 0.000], [0.000, 0.000, 0.500]]}

---

{"formula": "DyHoTlC", "functional": "PBE", "state": "optimized geometry", "sg": "P-6m2 (187)", "lattice_angstrom": [[3.605, 0.000, 0.000], [-1.803, 3.122, 0.000], [0.000, 0.000, 16.268]], "species": ["Dy", "Dy", "Ho", "Ho", "Tl", "Tl", "C", "C"], "fractional_positions": [[0.000, 0.000, 0.168], [0.000, 0.000, 0.832], [0.333, 0.667, 0.333], [0.333, 0.667, 0.667], [0.000, 0.000, 0.500], [0.333, 0.667, 0.000], [0.667, 0.333, 0.250], [0.667, 0.333, 0.750]]}

---

Number 1: raw total energy -6.262 eV per atom. Number 2: raw total energy -6.262 eV per atom. Number 3: raw total energy -5.567 eV per atom. Number 4: raw total energy -5.569 eV per atom. Number 5: raw total energy -5.567 eV per atom. Number 6: raw total energy -5.567 eV per atom.